! CrCdBr2F GGA+U relaxed; values from VASP
&SYSTEM
  ibrav = 0, nat = 5, ntyp = 4
/
ATOMIC_SPECIES
Cd 112.41 Cd.upf
F 19.00 F.upf
Br 79.90 Br.upf
Cr 52.00 Cr.upf
ATOMIC_POSITIONS crystal
Cd 0.500 0.500 0.500
F 0.000 0.000 0.500
Br 0.000 0.500 0.000
Br 0.500 0.000 0.000
Cr 0.000 0.000 0.000
CELL_PARAMETERS angstrom
-5.434 0.642 0.424
-0.599 -5.428 0.546
0.348 0.356 3.919
! crystal system	tetragonal
! total magnetic moment	0.779	μB/atom
! uncorrected energy	-3.8001	eV per atom